Density functional theory data (GGA-PBE) for an optimized crystal structure of K3Y2InO6.

Cell and atoms, written as CIF:
```
data_K3Y2InO6
_chemical_formula_sum 'K6 Y4 In2 O12'
_cell_length_a 5.968
_cell_length_b 10.336
_cell_length_c 6.566
_cell_angle_alpha 90.00
_cell_angle_beta 107.60
_cell_angle_gamma 90.00
_space_group_name_H-M_alt 'C 1 2/m 1'
_space_group_IT_number 12
_space_group_name_Hall '-C 2y'
loop_
_atom_site_label
_atom_site_type_symbol
_atom_site_fract_x
_atom_site_fract_y
_atom_site_fract_z
_atom_site_occupancy
K1 K 0.000 0.000 0.000 1
K2 K 0.000 0.336 0.000 1
Y1 Y 0.000 0.167 0.500 1
In1 In 0.000 0.500 0.500 1
O1 O 0.227 0.335 0.688 1
O2 O 0.233 0.000 0.687 1
```

Calculated values
Raw formation energy   -2.331 eV per atom